Entry 1:
# CaSi2As, optimized geometry, DFT PBE
# **Formation energy from raw total energies**: 0.004 eV per atom
# **DOS at the Fermi energy**: 8.8 states/eV per cell
data_CaSi2As
_chemical_formula_sum 'Ca4 Si8 As4'
_cell_length_a 7.7412
_cell_length_b 7.7412
_cell_length_c 5.7406
_cell_angle_alpha 90.00
_cell_angle_beta 90.00
_cell_angle_gamma 90.00
_space_group_name_H-M_alt 'I -4 2 d'
_space_group_IT_number 122
_space_group_name_Hall 'I -4 2bw'
loop_
_atom_site_label
_atom_site_type_symbol
_atom_site_fract_x
_atom_site_fract_y
_atom_site_fract_z
Ca1 Ca 0.0000 0.0000 0.0000
Si1 Si 0.2048 0.2500 0.6250
As1 As 0.0000 0.0000 0.5000

=====

Entry 2:
# RbLi2Br2Cl, optimized geometry, DFT PBE
# **Formation energy from raw total energies**: -1.678 eV per atom
# **DOS at the Fermi energy**: 0.0 states/eV per cell
data_RbLi2Br2Cl
_chemical_formula_sum 'Rb2 Li4 Br4 Cl2'
_cell_length_a 7.9237
_cell_length_b 5.9011
_cell_length_c 7.9397
_cell_angle_alpha 90.00
_cell_angle_beta 103.28
_cell_angle_gamma 90.00
_space_group_name_H-M_alt 'P 1 21/m 1'
_space_group_IT_number 11
_space_group_name_Hall '-P 2yb'
loop_
_atom_site_label
_atom_site_type_symbol
_atom_site_fract_x
_atom_site_fract_y
_atom_site_fract_z
Rb1 Rb 0.1870 0.2500 0.3134
Li1 Li 0.3446 0.9999 0.8463
Br1 Br 0.0917 0.2500 0.8356
Br2 Br 0.3314 0.7500 0.5931
Cl1 Cl 0.4104 0.7500 0.0909

=====

Entry 3:
# BaH2Br, optimized geometry, DFT PBE
# **ΔE to the lowest computed polymorph**: 0.275 eV/atom
# **DOS at the Fermi energy**: 4.6 states/eV per cell
data_BaH2Br
_chemical_formula_sum 'Ba4 H8 Br4'
_cell_length_a 6.7307
_cell_length_b 6.7307
_cell_length_c 6.7307
_cell_angle_alpha 90.00
_cell_angle_beta 90.00
_cell_angle_gamma 90.00
_space_group_name_H-M_alt 'F m -3 m'
_space_group_IT_number 225
_space_group_name_Hall '-F 4 2 3'
loop_
_atom_site_label
_atom_site_type_symbol
_atom_site_fract_x
_atom_site_fract_y
_atom_site_fract_z
Ba1 Ba 0.0000 0.0000 0.0000
H1 H 0.2500 0.2500 0.2500
Br1 Br 0.0000 0.0000 0.5000

=====

Entry 4:
# Ce2TmPaSb4, optimized geometry, DFT PBE
# **Formation energy from raw total energies**: -0.897 eV per atom
# **DOS at the Fermi energy**: 18.6 states/eV per cell
data_Ce2TmPaSb4
_chemical_formula_sum 'Ce2 Tm1 Pa1 Sb4'
_cell_length_a 7.6610
_cell_length_b 4.4261
_cell_length_c 7.6805
_cell_angle_alpha 90.00
_cell_angle_beta 109.45
_cell_angle_gamma 90.00
_space_group_name_H-M_alt 'P 1 2/m 1'
_space_group_IT_number 10
_space_group_name_Hall '-P 2y'
loop_
_atom_site_label
_atom_site_type_symbol
_atom_site_fract_x
_atom_site_fract_y
_atom_site_fract_z
Ce1 Ce 0.0000 0.0000 0.0000
Ce2 Ce 0.5000 0.5000 0.0000
Tm1 Tm 0.0000 0.5000 0.5000
Pa1 Pa 0.5000 0.0000 0.5000
Sb1 Sb 0.2457 0.0000 0.7395
Sb2 Sb 0.2512 0.5000 0.2594